Cr2AsAu | Alexandria | GGA-PBEsol | optimized geometry; space-group type = P4mm, No. 99; magnetization = 0.64 μB/f.u.; DOS at the Fermi energy = 2.90 states/eV/f.u.; formation enthalpy at 0 K = 0.1938 eV/atom; VASP energy = -28.74 eV/cell
1.0
2.8950 0.0000 0.0000
0.0000 2.8950 0.0000
0.0000 0.0000 6.9851
As Au Cr
1 1 2
Cartesian
0.0000 0.0000 3.1103
1.4475 1.4475 5.4832
0.0000 0.0000 0.3333
1.4475 1.4475 1.5508

NbB3Br | Alexandria | GGA-PBEsol | optimized geometry; space-group type = Pm-3m, No. 221; magnetization = 0.00 μB/f.u.; DOS at the Fermi energy = 3.17 states/eV/f.u.; VASP energy = -22.26 eV/cell; formation energy (no corrections) = 2.2962 eV per atom
1.0
4.0086 0.0000 0.0000
0.0000 4.0086 0.0000
0.0000 0.0000 4.0086
Nb B Br
1 3 1
Cartesian
2.0043 2.0043 2.0043
0.0000 2.0043 0.0000
0.0000 0.0000 2.0043
2.0043 0.0000 0.0000
0.0000 0.0000 0.0000